Material: Ce6GeAs3S2
Method: DFT, PBE
State: optimized geometry

Unit cell a=9.3047 b=9.3047 c=8.3149 alpha=102.88 beta=102.88 gamma=25.89
Fractional coordinates of all 12 atoms:
Ce  0.0022  0.0022  0.2521
Ce  0.3316  0.3316  0.4210
Ce  0.3326  0.3326  0.9116
Ce  0.6674  0.6674  0.0884
Ce  0.6684  0.6684  0.5790
Ce  0.9978  0.9978  0.7479
Ge  0.5000  0.5000  0.0000
As  0.1661  0.1661  0.8321
As  0.5000  0.5000  0.5000
As  0.8339  0.8339  0.1679
S  0.1674  0.1674  0.3341
S  0.8326  0.8326  0.6659

Values from the calculation:
For the uncorrected formation energy, the calculation gives -145.62 kJ/mol of atoms. The energy is -6.711 eV per atom. The value obtained for the total magnetic moment is 4.3 μB/f.u.

***

Material: Ce4GeAsS2
Method: DFT, PBE
State: optimized geometry

Unit cell a=8.2654 b=8.2654 c=8.2654 alpha=120.07 beta=119.92 gamma=90.00
Fractional coordinates of all 16 atoms:
Ce  0.2525  0.2471  0.0054
Ce  0.2528  0.2466  0.4939
Ce  0.2528  0.7589  0.0061
Ce  0.2583  0.7529  0.5054
Ce  0.7417  0.2471  0.4946
Ce  0.7472  0.2411  0.9939
Ce  0.7472  0.7534  0.5061
Ce  0.7475  0.7529  0.9946
Ge  0.0000  0.5000  0.5000
Ge  0.5000  0.5000  0.0000
As  0.0000  0.0000  0.5000
As  0.0000  0.5000  0.0000
S  0.0000  0.0000  0.0000
S  0.5000  0.0000  0.0000
S  0.5000  0.0000  0.5000
S  0.5000  0.5000  0.5000

Values from the calculation:
For the uncorrected formation energy, the calculation gives -149.89 kJ/mol of atoms. The energy is -6.711 eV per atom. The value obtained for the total magnetic moment is 2.7 μB/f.u.

***

Material: Ce6GeAs2S3
Method: DFT, PBE
State: optimized geometry

Unit cell a=9.2188 b=9.2188 c=8.2373 alpha=102.48 beta=102.48 gamma=25.96
Fractional coordinates of all 12 atoms:
Ce  0.0018  0.0018  0.2447
Ce  0.3313  0.3313  0.4215
Ce  0.3353  0.3353  0.9122
Ce  0.6647  0.6647  0.0878
Ce  0.6687  0.6687  0.5785
Ce  0.9982  0.9982  0.7553
Ge  0.5000  0.5000  0.5000
As  0.1668  0.1668  0.8334
As  0.8332  0.8332  0.1666
S  0.1667  0.1667  0.3329
S  0.5000  0.5000  0.0000
S  0.8333  0.8333  0.6671

Values from the calculation:
For the uncorrected formation energy, the calculation gives -155.70 kJ/mol of atoms. The energy is -6.772 eV per atom. The value obtained for the total magnetic moment is 4.1 μB/f.u.

***

Material: Ce4GeSb2As
Method: DFT, PBE
State: optimized geometry

Unit cell a=7.5235 b=4.3447 c=7.5975 alpha=90.00 beta=109.28 gamma=90.00
Fractional coordinates of all 8 atoms:
Ce  0.2440  0.0000  0.2322
Ce  0.2560  0.5000  0.7681
Ce  0.7440  0.5000  0.2319
Ce  0.7560  0.0000  0.7678
Ge  0.0000  0.5000  0.0000
Sb  0.0000  0.0000  0.5000
Sb  0.5000  0.5000  0.5000
As  0.5000  0.0000  0.0000

Values from the calculation:
For the uncorrected formation energy, the calculation gives -100.17 kJ/mol of atoms. The energy is -6.194 eV per atom. The value obtained for the total magnetic moment is 2.6 μB/f.u.

***

Material: Ce4GeSbAs2
Method: DFT, PBE
State: optimized geometry

Unit cell a=7.4310 b=4.2827 c=7.4470 alpha=90.00 beta=109.36 gamma=90.00
Fractional coordinates of all 8 atoms:
Ce  0.2385  0.0000  0.2378
Ce  0.2447  0.5000  0.7562
Ce  0.7553  0.5000  0.2438
Ce  0.7615  0.0000  0.7622
Ge  0.0000  0.0000  0.5000
Sb  0.5000  0.5000  0.5000
As  0.0000  0.5000  0.0000
As  0.5000  0.0000  0.0000

Values from the calculation:
For the uncorrected formation energy, the calculation gives -108.22 kJ/mol of atoms. The energy is -6.343 eV per atom. The value obtained for the total magnetic moment is 2.4 μB/f.u.

***

Material: Ce8GeAs4Se3
Method: DFT, PBE
State: optimized geometry

Unit cell a=8.4438 b=8.4438 c=8.4438 alpha=60.01 beta=60.01 gamma=60.01
Fractional coordinates of all 16 atoms:
Ce  0.2469  0.7499  0.7499
Ce  0.2482  0.2482  0.2482
Ce  0.2501  0.2501  0.7531
Ce  0.2501  0.7531  0.2501
Ce  0.7499  0.2469  0.7499
Ce  0.7499  0.7499  0.2469
Ce  0.7518  0.7518  0.7518
Ce  0.7531  0.2501  0.2501
Ge  0.0000  0.0000  0.0000
As  0.0000  0.0000  0.5000
As  0.0000  0.5000  0.0000
As  0.5000  0.0000  0.0000
As  0.5000  0.5000  0.5000
Se  0.0000  0.5000  0.5000
Se  0.5000  0.0000  0.5000
Se  0.5000  0.5000  0.0000

Values from the calculation:
For the uncorrected formation energy, the calculation gives -145.54 kJ/mol of atoms. The energy is -6.580 eV per atom. The value obtained for the total magnetic moment is 6.8 μB/f.u.

***

Material: Ce6GeAs3Se2
Method: DFT, PBE
State: optimized geometry

Unit cell a=9.4421 b=9.4421 c=8.4395 alpha=102.93 beta=102.93 gamma=25.86
Fractional coordinates of all 12 atoms:
Ce  0.0010  0.0010  0.2501
Ce  0.3335  0.3335  0.4201
Ce  0.3345  0.3345  0.9140
Ce  0.6655  0.6655  0.0860
Ce  0.6665  0.6665  0.5799
Ce  0.9990  0.9990  0.7499
Ge  0.5000  0.5000  0.5000
As  0.1676  0.1676  0.3329
As  0.5000  0.5000  0.0000
As  0.8324  0.8324  0.6671
Se  0.1668  0.1668  0.8337
Se  0.8332  0.8332  0.1663

Values from the calculation:
For the uncorrected formation energy, the calculation gives -140.57 kJ/mol of atoms. The energy is -6.552 eV per atom. The value obtained for the total magnetic moment is 4.7 μB/f.u.

***

Material: Ce8GeAs3Se4
Method: DFT, PBE
State: optimized geometry

Unit cell a=8.4357 b=8.4357 c=8.4357 alpha=60.16 beta=60.16 gamma=60.16
Fractional coordinates of all 16 atoms:
Ce  0.2483  0.2483  0.2483
Ce  0.2484  0.7484  0.7484
Ce  0.2516  0.2516  0.7516
Ce  0.2516  0.7516  0.2516
Ce  0.7484  0.2484  0.7484
Ce  0.7484  0.7484  0.2484
Ce  0.7516  0.2516  0.2516
Ce  0.7517  0.7517  0.7517
Ge  0.5000  0.5000  0.5000
As  0.0000  0.0000  0.5000
As  0.0000  0.5000  0.0000
As  0.5000  0.0000  0.0000
Se  0.0000  0.0000  0.0000
Se  0.0000  0.5000  0.5000
Se  0.5000  0.0000  0.5000
Se  0.5000  0.5000  0.0000

Values from the calculation:
For the uncorrected formation energy, the calculation gives -150.26 kJ/mol of atoms. The energy is -6.556 eV per atom. The value obtained for the total magnetic moment is 7.2 μB/f.u.